1.
Here is a geometry-optimized CdBi3N structure from the Alexandria database. Energies are from PBE-GGA.

Properties
energy relative to the lowest polymorph listed for this composition	0.156	eV/atom
SG	Pm-3m (221)

Cell lengths 5.0039, 5.0039, 5.0039 Å; angles 90.00, 90.00, 90.00 degrees
With the nearest neighbours (Å) after each atom.
Sites, in units of the cell vectors:
N 0.0000 0.0000 0.0000  6 Bi 2.50
Cd 0.5000 0.5000 0.5000  12 Bi 3.54
Bi 0.0000 0.0000 0.5000  2 N 2.50
Bi 0.0000 0.5000 0.0000  2 N 2.50
Bi 0.5000 0.0000 0.0000  2 N 2.50

***

2.
Here is a geometry-optimized CdBi2N2 structure from the Alexandria database. Energies are from PBE-GGA.

Properties
SG	P-1 (2)

Cell lengths 5.7151, 4.3307, 13.9099 Å; angles 116.20, 82.98, 140.49 degrees
With the nearest neighbours (Å) after each atom.
Sites, in units of the cell vectors:
N 0.0211 0.9717 0.5319  1 N 1.11
Bi 0.3308 0.6387 0.8673  1 Bi 3.06, 4 Cd 3.18-3.25
Cd 0.0000 0.0000 0.0000  8 Bi 3.18-3.25
Bi 0.6692 0.3613 0.1327  1 Bi 3.06, 4 Cd 3.18-3.25
N 0.9789 0.0283 0.4681  1 N 1.11

***

Number 1: E_form (uncorrected) 0.5158 eV/atom. Number 2: E_form (uncorrected) 0.1280 eV/atom.